The following is a DFT calculation (PBE) of AsN3Cl after structural relaxation.

Results
Total energy: -3.597 eV/atom
Energy relative to the elements, uncorrected: 2.697 eV per atom
Total magnetization: 0.00 μB per cell

Cell lengths 3.7654, 3.7654, 3.7654 Å; angles 90.00, 90.00, 90.00 degrees
Atoms (fractional coordinates):
As 0.0000 0.0000 0.0000
N 0.0000 0.5000 0.5000
N 0.5000 0.0000 0.5000
N 0.5000 0.5000 0.0000
Cl 0.5000 0.5000 0.5000



The following is a DFT calculation (PBE) of In2BiN after structural relaxation.

Results
Total energy: -4.188 eV/atom
Polymorph energy (0 for the lowest one): 0 meV/atom
Energy relative to the elements, uncorrected: 0.232 eV per atom
Total magnetization: 0.00 μB per cell

Cell lengths 6.0639, 6.0639, 11.0013 Å; angles 90.00, 90.00, 90.00 degrees
Atoms (fractional coordinates):
In 0.1483 0.2500 0.1250
In 0.2500 0.6483 0.3750
In 0.2500 0.8517 0.8750
In 0.3517 0.2500 0.6250
In 0.6483 0.7500 0.6250
In 0.7500 0.1483 0.8750
In 0.7500 0.3517 0.3750
In 0.8517 0.7500 0.1250
Bi 0.0000 0.0000 0.5000
Bi 0.0000 0.5000 0.7500
Bi 0.5000 0.0000 0.2500
Bi 0.5000 0.5000 0.0000
N 0.0000 0.0000 0.0000
N 0.0000 0.5000 0.2500
N 0.5000 0.0000 0.7500
N 0.5000 0.5000 0.5000



The following is a DFT calculation (PBE) of NbFe3S after structural relaxation.

Results
Total energy: -7.648 eV/atom
Polymorph energy (0 for the lowest one): 0 meV/atom
Energy relative to the elements, uncorrected: 0.269 eV per atom
Total magnetization: 3.96 μB per cell

Cell lengths 4.1225, 4.1225, 4.1225 Å; angles 90.00, 90.00, 90.00 degrees
Atoms (fractional coordinates):
Nb 0.0000 0.0000 0.0000
Fe 0.0000 0.5000 0.5000
Fe 0.5000 0.0000 0.5000
Fe 0.5000 0.5000 0.0000
S 0.5000 0.5000 0.5000



The following is a DFT calculation (PBE) of TbSi3PdRh after structural relaxation.

Results
Total energy: -6.090 eV/atom
Energy relative to the elements, uncorrected: -0.516 eV per atom
Total magnetization: 0.00 μB per cell

Cell lengths 8.0571, 8.0571, 5.5368 Å; angles 90.00, 90.00, 139.76 degrees
Atoms (fractional coordinates):
Tb 0.1945 0.8055 0.7500
Tb 0.8055 0.1945 0.2500
Si 0.2367 0.2367 0.0000
Si 0.2367 0.2367 0.5000
Si 0.2606 0.7394 0.2500
Si 0.7394 0.2606 0.7500
Si 0.7633 0.7633 0.0000
Si 0.7633 0.7633 0.5000
Pd 0.1040 0.8960 0.2500
Pd 0.8960 0.1040 0.7500
Rh 0.4148 0.5852 0.2500
Rh 0.5852 0.4148 0.7500



The following is a DFT calculation (PBE) of KPdBr5 after structural relaxation.

Results
Total energy: -2.608 eV/atom
Polymorph energy (0 for the lowest one): 82 meV/atom
Energy relative to the elements, uncorrected: -0.514 eV per atom
Total magnetization: 0.00 μB per cell

Cell lengths 8.0956, 8.1924, 7.5995 Å; angles 90.00, 90.00, 90.00 degrees
Atoms (fractional coordinates):
K 0.0000 0.0000 0.0000
K 0.5000 0.5000 0.5000
Pd 0.0000 0.5000 0.4084
Pd 0.5000 0.0000 0.9084
Br 0.0000 0.1976 0.4110
Br 0.0000 0.5000 0.7299
Br 0.0000 0.8024 0.4110
Br 0.2046 0.5000 0.1666
Br 0.2954 0.0000 0.6666
Br 0.5000 0.0000 0.2299
Br 0.5000 0.3024 0.9110
Br 0.5000 0.6976 0.9110
Br 0.7046 0.0000 0.6666
Br 0.7954 0.5000 0.1666



The following is a DFT calculation (PBE) of TiMnBe4 after structural relaxation.

Results
Total energy: -5.640 eV/atom
ΔE_f: -0.312 eV per atom
Total magnetization: 1.00 μB per cell

Cell lengths 4.3417, 4.3417, 4.3417 Å; angles 60.00, 60.00, 60.00 degrees
Atoms (fractional coordinates):
Ti 0.0000 0.0000 0.0000
Mn 0.7500 0.7500 0.7500
Be 0.3760 0.3760 0.3760
Be 0.3760 0.3760 0.8719
Be 0.3760 0.8719 0.3760
Be 0.8719 0.3760 0.3760